This record from Alexandria via LeMat-Bulk describes a relaxed structure of Tb6Pm2Er5. The functional is GGA-PBE.

Properties
formation energy from the elements = 140 meV/atom
symmetry = Pbam (55)

Cell and atoms, written as CIF:
```
data_Tb6Pm2Er5
_cell_length_a 12.481
_cell_length_b 12.815
_cell_length_c 5.243
_cell_angle_alpha 90.00
_cell_angle_beta 90.00
_cell_angle_gamma 90.00
_space_group_name_H-M_alt 'P 1'
_space_group_IT_number 1
loop_
_space_group_symop_operation_xyz
'x,y,z'
loop_
_atom_site_label
_atom_site_fract_x
_atom_site_fract_y
_atom_site_fract_z
Tb1 0.096 0.100 0.000
Tb2 0.192 0.416 0.000
Tb3 0.230 0.596 0.500
Tb4 0.270 0.096 0.500
Tb5 0.308 0.916 0.000
Tb6 0.404 0.600 0.000
Tb7 0.596 0.400 0.000
Tb8 0.692 0.084 0.000
Tb9 0.730 0.904 0.500
Tb10 0.770 0.404 0.500
Tb11 0.808 0.584 0.000
Tb12 0.904 0.900 0.000
Pm1 0.090 0.692 0.000
Pm2 0.410 0.192 0.000
Pm3 0.590 0.808 0.000
Pm4 0.910 0.308 0.000
Er1 0.000 0.500 0.500
Er2 0.098 0.275 0.500
Er3 0.110 0.889 0.500
Er4 0.390 0.389 0.500
Er5 0.402 0.775 0.500
Er6 0.500 0.000 0.500
Er7 0.598 0.225 0.500
Er8 0.610 0.611 0.500
Er9 0.890 0.111 0.500
Er10 0.902 0.725 0.500
```